# PBE with a Hubbard U ScFeO3, optimized geometry
data_ScFeO3
_symmetry_space_group_name_H-M 'C m c 21'
_symmetry_Int_Tables_number 36
_cell_length_a 3.235
_cell_length_b 14.416
_cell_length_c 5.191
_cell_angle_alpha 90.00
_cell_angle_beta 90.00
_cell_angle_gamma 90.00
loop_
_symmetry_equiv_pos_as_xyz
'x,y,z'
'-x,-y,z+1/2'
'-x,y,z'
'x,-y,z+1/2'
'x+1/2,y+1/2,z'
'-x+1/2,-y+1/2,z+1/2'
'-x+1/2,y+1/2,z'
'x+1/2,-y+1/2,z+1/2'
loop_
_atom_site_label
_atom_site_type_symbol
_atom_site_fract_x
_atom_site_fract_y
_atom_site_fract_z
Sc1 Sc 0.000 0.181 0.000
Fe1 Fe 0.000 0.453 0.014
O1 O 0.000 0.079 0.687
O2 O 0.000 0.257 0.333
O3 O 0.000 0.418 0.656
# Energy, eV per cell: -155.2
# Total magnetization, μB per formula unit: 5.00